Record 1
DFT (PBE-GGA) results for an optimized crystal structure of CaZn2TcBr.

Geometry as POSCAR:
```
CaZn2TcBr
1.0
5.330 0.000 0.000
0.000 5.330 0.000
0.000 0.000 4.674
Ca Zn Tc Br
1 2 1 1
direct
0.000 0.000 0.000 Ca
0.000 0.500 0.500 Zn
0.500 0.000 0.500 Zn
0.500 0.500 0.000 Tc
0.500 0.500 0.500 Br
```

Results
The value obtained for the energy relative to the elements, uncorrected is 856 meV per atom. The volume is 26.56 A^3/atom. For the density of states at the Fermi level, the calculation gives 1.1143 states/eV/atom.

=====

Record 2
DFT (PBE-GGA) results for an optimized crystal structure of Ho6TmZr.

Geometry as POSCAR:
```
Ho6TmZr
1.0
3.231 -5.601 0.000
3.231 5.601 0.000
-0.012 0.000 6.595
Ho Tm Zr
6 1 1
direct
0.055 0.055 0.244 Ho
0.056 0.501 0.756 Ho
0.499 0.944 0.244 Ho
0.501 0.056 0.756 Ho
0.944 0.499 0.244 Ho
0.945 0.945 0.756 Ho
0.500 0.500 0.500 Tm
0.500 0.500 0.000 Zr
```

Results
The energy relative to the elements comes out at 235 meV per atom. The volume is 29.84 A^3/atom. For the density of states at the Fermi level, the calculation gives 1.6035 states/eV/atom. The calculation puts the energy above the most stable polymorph in this dataset at 0.00 eV/f.u.

=====

Record 3
DFT (PBE-GGA) results for an optimized crystal structure of Ho5ThSc2.

Geometry as POSCAR:
```
Ho5ThSc2
1.0
6.949 0.000 0.000
0.000 13.918 0.000
0.000 0.000 4.873
Ho Th Sc
10 2 4
direct
0.000 0.000 0.000 Ho
0.009 0.250 0.000 Ho
0.248 0.875 0.500 Ho
0.252 0.375 0.500 Ho
0.491 0.750 0.000 Ho
0.500 0.500 0.000 Ho
0.509 0.250 0.000 Ho
0.748 0.625 0.500 Ho
0.752 0.125 0.500 Ho
0.991 0.750 0.000 Ho
0.000 0.500 0.000 Th
0.500 0.000 0.000 Th
0.239 0.623 0.500 Sc
0.261 0.123 0.500 Sc
0.739 0.877 0.500 Sc
0.761 0.377 0.500 Sc
```

Results
The energy relative to the elements comes out at 39 meV per atom. The volume is 29.46 A^3/atom. For the density of states at the Fermi level, the calculation gives 1.5656 states/eV/atom.

=====

Record 4
DFT (PBE-GGA) results for an optimized crystal structure of AcPrCdRu.

Geometry as POSCAR:
```
AcPrCdRu
1.0
0.000 3.786 3.786
3.786 0.000 3.786
3.786 3.786 0.000
Ac Pr Cd Ru
1 1 1 1
direct
0.000 0.000 0.000 Ac
0.500 0.500 0.500 Pr
0.250 0.250 0.250 Cd
0.750 0.750 0.750 Ru
```

Results
The energy relative to the elements comes out at -78 meV per atom. The volume is 27.14 A^3/atom. For the density of states at the Fermi level, the calculation gives 1.0402 states/eV/atom.

=====

Record 5
DFT (PBE-GGA) results for an optimized crystal structure of BiSbH2Pb.

Geometry as POSCAR:
```
BiSbH2Pb
1.0
4.287 0.000 0.000
0.000 4.287 0.000
0.000 0.000 6.568
Bi Sb H Pb
1 1 2 1
direct
0.000 0.000 0.000 Bi
0.500 0.500 0.000 Sb
0.000 0.500 0.500 H
0.500 0.000 0.500 H
0.000 0.000 0.500 Pb
```

Results
The total energy comes out at -3.24 eV/atom. The volume is 24.14 A^3/atom. For the density of states at the Fermi level, the calculation gives 0.6278 states/eV/atom.

=====

Record 6
DFT (PBE-GGA) results for an optimized crystal structure of Ta2SeF.

Geometry as POSCAR:
```
Ta2SeF
1.0
0.000 3.119 3.119
3.119 0.000 3.119
3.119 3.119 0.000
Ta Se F
2 1 1
direct
0.250 0.250 0.250 Ta
0.750 0.750 0.750 Ta
0.000 0.000 0.000 Se
0.500 0.500 0.500 F
```

Results
The value obtained for the energy relative to the elements, uncorrected is -216 meV per atom. The volume is 15.17 A^3/atom. For the density of states at the Fermi level, the calculation gives 1.1022 states/eV/atom. The calculation puts the energy above the most stable polymorph in this dataset at 0.35 eV/f.u.